# YHf2TiTc

YHf2TiTc after structural relaxation (PBE, Alexandria via LeMat-Bulk).

Crystal system = tetragonal
Formation enthalpy at 0 K = 1.37 eV per formula unit
Space-group type = No. 123

Cell: 5.046 4.786 5.046 Å, 90.00 90.00 90.00°
Sites, in units of the cell vectors:
Y1 0.500 0.500 0.500
Hf1 0.000 0.000 0.500
Hf2 0.500 0.000 0.000
Tc1 0.000 0.000 0.000
Ti1 0.000 0.500 0.000